1.
Density functional theory data (PBE) for a relaxed LaEr2Ga2Ag2 crystal.

## Properties
The formation enthalpy at 0 K comes out at -0.3979 eV/atom. The uncorrected energy comes out at -4.085 eV per atom.

Cell and atoms, written as CIF:
```
data_LaEr2Ga2Ag2
_chemical_formula_sum 'La3 Er6 Ga6 Ag6'
_cell_length_a 4.6713
_cell_length_b 4.6713
_cell_length_c 26.9283
_cell_angle_alpha 90.00
_cell_angle_beta 90.00
_cell_angle_gamma 120.00
_symmetry_space_group_name_H-M 'R -3 m'
_symmetry_Int_Tables_number 166
_symmetry_space_group_name_Hall '-R 3 2"'
loop_
_atom_site_label
_atom_site_fract_x
_atom_site_fract_y
_atom_site_fract_z
_atom_site_occupancy
La1 0.0000 0.0000 0.0000 1
Er1 0.0000 0.0000 0.1280 1
Ga1 0.0000 0.0000 0.2520 1
Ag1 0.0000 0.0000 0.4098 1
```



2.
Density functional theory data (PBE) for a relaxed LaDy2Pb crystal.

## Properties
The formation enthalpy at 0 K comes out at -0.1972 eV/atom. The uncorrected energy comes out at -4.657 eV per atom. The value obtained for the energy above the most stable polymorph in this dataset is 0.53 eV/f.u.

Cell and atoms, written as CIF:
```
data_LaDy2Pb
_chemical_formula_sum 'La1 Dy2 Pb1'
_cell_length_a 3.868
_cell_length_b 3.868
_cell_length_c 8.371
_cell_angle_alpha 90.00
_cell_angle_beta 90.00
_cell_angle_gamma 90.00
_symmetry_space_group_name_H-M 'P 4/m m m'
_symmetry_Int_Tables_number 123
_symmetry_space_group_name_Hall '-P 4 2'
loop_
_atom_site_label
_atom_site_fract_x
_atom_site_fract_y
_atom_site_fract_z
_atom_site_occupancy
La1 0.000 0.000 0.000 1
Dy1 0.500 0.500 0.282 1
Pb1 0.000 0.000 0.500 1
```



3.
Density functional theory data (PBE) for a relaxed Ho6Cd2Ir crystal.

## Properties
The formation enthalpy at 0 K comes out at -0.1784 eV/atom. The uncorrected energy comes out at -4.418 eV per atom.

Cell and atoms, written as CIF:
```
data_Ho6Cd2Ir
_chemical_formula_sum 'Ho12 Cd4 Ir2'
_cell_length_a 5.061
_cell_length_b 7.128
_cell_length_c 14.806
_cell_angle_alpha 90.00
_cell_angle_beta 90.00
_cell_angle_gamma 90.00
_symmetry_space_group_name_H-M 'I m m m'
_symmetry_Int_Tables_number 71
_symmetry_space_group_name_Hall '-I 2 2'
loop_
_atom_site_label
_atom_site_fract_x
_atom_site_fract_y
_atom_site_fract_z
_atom_site_occupancy
Ho1 0.000 0.229 0.000 1
Ho2 0.000 0.259 0.345 1
Cd1 0.000 0.500 0.167 1
Ir1 0.000 0.500 0.500 1
```



4.
Density functional theory data (PBE) for a relaxed GePt3I crystal.

## Properties
The raw formation energy comes out at 1137 meV per atom. The uncorrected energy comes out at -3.721 eV per atom. The value obtained for the energy above the most stable polymorph in this dataset is 2.70 eV/f.u.

Cell and atoms, written as CIF:
```
data_GePt3I
_chemical_formula_sum 'Ge1 Pt3 I1'
_cell_length_a 4.997
_cell_length_b 4.997
_cell_length_c 4.997
_cell_angle_alpha 90.00
_cell_angle_beta 90.00
_cell_angle_gamma 90.00
_symmetry_space_group_name_H-M 'P m -3 m'
_symmetry_Int_Tables_number 221
_symmetry_space_group_name_Hall '-P 4 2 3'
loop_
_atom_site_label
_atom_site_fract_x
_atom_site_fract_y
_atom_site_fract_z
_atom_site_occupancy
Ge1 0.000 0.000 0.000 1
Pt1 0.000 0.500 0.500 1
I1 0.500 0.500 0.500 1
```



5.
Density functional theory data (PBE) for a relaxed PrY4P5 crystal.

## Properties
The formation enthalpy at 0 K comes out at -1.5949 eV/atom. The uncorrected energy comes out at -7.363 eV per atom.

Cell and atoms, written as CIF:
```
data_PrY4P5
_chemical_formula_sum 'Pr2 Y8 P10'
_cell_length_a 4.054
_cell_length_b 5.738
_cell_length_c 20.261
_cell_angle_alpha 90.00
_cell_angle_beta 90.00
_cell_angle_gamma 90.00
_symmetry_space_group_name_H-M 'I m m m'
_symmetry_Int_Tables_number 71
_symmetry_space_group_name_Hall '-I 2 2'
loop_
_atom_site_label
_atom_site_fract_x
_atom_site_fract_y
_atom_site_fract_z
_atom_site_occupancy
Pr1 0.000 0.000 0.000 1
Y1 0.000 0.000 0.202 1
Y2 0.000 0.000 0.399 1
P1 0.000 0.500 0.000 1
P2 0.000 0.500 0.200 1
P3 0.000 0.500 0.396 1
```



6.
Density functional theory data (PBE) for a relaxed CsHfSbS4 crystal.

## Properties
The raw formation energy comes out at -973 meV per atom. The uncorrected energy comes out at -5.464 eV per atom.

Cell and atoms, written as CIF:
```
data_CsHfSbS4
_chemical_formula_sum 'Cs2 Hf2 Sb2 S8'
_cell_length_a 6.846
_cell_length_b 7.469
_cell_length_c 9.284
_cell_angle_alpha 90.00
_cell_angle_beta 100.49
_cell_angle_gamma 90.00
_symmetry_space_group_name_H-M 'P 1 21/m 1'
_symmetry_Int_Tables_number 11
loop_
_symmetry_equiv_pos_as_xyz
'x,y,z'
'-x,-y,-z'
'-x,y+1/2,-z'
'x,-y+1/2,z'
loop_
_atom_site_label
_atom_site_fract_x
_atom_site_fract_y
_atom_site_fract_z
_atom_site_occupancy
Cs1 0.176 0.250 0.092 1
Hf1 0.361 0.250 0.671 1
Sb1 0.144 0.750 0.400 1
S1 0.129 0.013 0.699 1
S2 0.309 0.750 0.172 1
S3 0.437 0.250 0.438 1
```



no.,total magnetic moment (μB per formula unit),density of states at the Fermi level (states/eV/atom)
1,0.00,0.539
2,0.00,1.483
3,0.00,1.291
4,0.00,0.806
5,0.00,0.151
6,0.00,0.000